Record 1
Density functional theory data (PBE) for crystalline Y2PuUC4 at its relaxed geometry.

The space group is P2/m (No. 10) and the conventional cell measures 6.1050, 3.5889 and 6.2011 Å, with angles of 90.00, 109.98 and 90.00 degrees. The distinct sites, in fractional coordinates, are Y at (0.0000, 0.0000, 0.0000), Y at (0.0000, 0.5000, 0.5000), Pu at (0.5000, 0.0000, 0.5000), U at (0.5000, 0.5000, 0.0000), C at (0.2822, 0.5000, 0.2549) and C at (0.2839, 0.0000, 0.7715).

As for the formation energy: -171.0 meV/atom. The total energy is -9.60 eV per atom. The value obtained for the density of states at the Fermi level is 1.3707 states/eV per atom.

---

Record 2
Density functional theory data (PBE) for crystalline Y2BiBMo at its relaxed geometry.

The space group is P4/mmm (No. 123) and the conventional cell measures 5.0851, 5.0851 and 4.2560 Å, with angles of 90.00, 90.00 and 90.00 degrees. The distinct sites, in fractional coordinates, are Y at (0.0000, 0.5000, 0.0000), Bi at (0.0000, 0.0000, 0.5000), B at (0.5000, 0.5000, 0.0000) and Mo at (0.5000, 0.5000, 0.5000).

As for the formation energy: -234.6 meV/atom. The total energy is -7.10 eV per atom. The value obtained for the density of states at the Fermi level is 0.4296 states/eV per atom.